Here is a relaxed ReTcS2N crystal from Alexandria via LeMat-Bulk. Energies are from PBE.

The structure belongs to space group P4/mmm (No. 123); the cell edges are 4.771, 4.771 and 3.669 Å and the angles 90.00°, 90.00° and 90.00°. The inequivalent atoms are Re at (0.000, 0.000, 0.000), Tc at (0.500, 0.500, 0.500), S at (0.000, 0.500, 0.500) and N at (0.500, 0.500, 0.000).

The value obtained for the total DFT energy (no corrections) is -33.95 eV for the cell shown. The calculation puts the magnetic moment at 3.6 μB per formula unit. For the density, the calculation gives 7.20 g cm⁻³.


Here is a relaxed ReTcSN2 crystal from Alexandria via LeMat-Bulk. Energies are from PBE.

The structure belongs to space group P4/mmm (No. 123); the cell edges are 3.786, 3.786 and 5.177 Å and the angles 90.00°, 90.00° and 90.00°. The inequivalent atoms are Re at (0.000, 0.000, 0.000), Tc at (0.500, 0.500, 0.500), S at (0.500, 0.500, 0.000) and N at (0.000, 0.500, 0.500).

The value obtained for the total DFT energy (no corrections) is -37.17 eV for the cell shown. The calculation puts the magnetic moment at 3.7 μB per formula unit. For the density, the calculation gives 7.71 g cm⁻³.


Here is a relaxed ReTcSN2 crystal from Alexandria via LeMat-Bulk. Energies are from PBE.

The structure belongs to space group P4/mmm (No. 123); the cell edges are 3.814, 3.814 and 5.155 Å and the angles 90.00°, 90.00° and 90.00°. The inequivalent atoms are Re at (0.000, 0.000, 0.000), Tc at (0.500, 0.500, 0.500), S at (0.000, 0.000, 0.500) and N at (0.000, 0.500, 0.000).

The value obtained for the total DFT energy (no corrections) is -39.33 eV for the cell shown. The calculation puts the magnetic moment at 3.9 μB per formula unit. For the density, the calculation gives 7.62 g cm⁻³.


Here is a relaxed ReTeS2N crystal from Alexandria via LeMat-Bulk. Energies are from PBE.

The structure belongs to space group P4/mmm (No. 123); the cell edges are 4.846, 4.846 and 3.775 Å and the angles 90.00°, 90.00° and 90.00°. The inequivalent atoms are Re at (0.000, 0.000, 0.000), Te at (0.500, 0.500, 0.500), S at (0.000, 0.500, 0.000) and N at (0.000, 0.000, 0.500).

The value obtained for the total DFT energy (no corrections) is -30.33 eV for the cell shown. The calculation puts the magnetic moment at 0.0 μB per formula unit. For the density, the calculation gives 7.34 g cm⁻³.


Computed excess energy over the best structure of this formula in the dataset (meV per atom) in order:
312 431 0 0
Computed energy relative to the elements, uncorrected (kJ per mole of atoms) in order:
105.02 123.85 82.28 35.45